[1]
VASP calculation (PBE) on a relaxed structure of NaDyFeS3.

The calculation puts the total energy at -136.44 eV per cell. The calculation puts the energy above the lowest structure with this stoichiometry at 27.5 meV per atom.

The structure belongs to space group Cmcm (No. 63); the cell edges are 3.909, 12.830 and 10.445 Å and the angles 90.00°, 90.00° and 90.00°. Symmetry generates all atoms from Na at (0.000, 0.245, 0.250), Dy at (0.000, 0.000, 0.000), Fe at (0.000, 0.474, 0.750), S at (0.000, 0.077, 0.750) and S at (0.000, 0.366, 0.576).

[2]
VASP calculation (PBE) on a relaxed structure of NaDyFeSe3.

The calculation puts the total energy at -125.59 eV per cell. The calculation puts the energy above the lowest structure with this stoichiometry at 26.5 meV per atom.

The structure belongs to space group Pnma (No. 62); the cell edges are 10.772, 4.045 and 13.437 Å and the angles 90.00°, 90.00° and 90.00°. Symmetry generates all atoms from Na at (0.217, 0.250, 0.004), Dy at (0.016, 0.750, 0.741), Fe at (0.235, 0.750, 0.221), Se at (0.051, 0.750, 0.118), Se at (0.094, 0.250, 0.606) and Se at (0.238, 0.250, 0.329).

[3]
VASP calculation (PBE) on a relaxed structure of NaDyFeSe3.

The calculation puts the total energy at -123.94 eV per cell. The calculation puts the energy above the lowest structure with this stoichiometry at 95.2 meV per atom.

The structure belongs to space group Pnma (No. 62); the cell edges are 8.171, 4.178 and 16.120 Å and the angles 90.00°, 90.00° and 90.00°. Symmetry generates all atoms from Na at (0.076, 0.250, 0.215), Dy at (0.248, 0.750, 0.455), Fe at (0.123, 0.250, 0.640), Se at (0.006, 0.250, 0.409), Se at (0.125, 0.750, 0.059) and Se at (0.192, 0.250, 0.783).

[4]
VASP calculation (PBE) on a relaxed structure of NaDyFeSe3.

The calculation puts the total energy at -126.23 eV per cell. The calculation puts the energy above the lowest structure with this stoichiometry at 0.0 meV per atom.

The structure belongs to space group Pnma (No. 62); the cell edges are 13.843, 3.983 and 11.005 Å and the angles 90.00°, 90.00° and 90.00°. Symmetry generates all atoms from Na at (0.229, 0.250, 0.052), Dy at (0.014, 0.250, 0.342), Fe at (0.008, 0.750, 0.080), Se at (0.099, 0.750, 0.887), Se at (0.113, 0.250, 0.566) and Se at (0.133, 0.750, 0.233).

[5]
VASP calculation (PBE) on a relaxed structure of NaDyFeSe3.

The calculation puts the total energy at -125.57 eV per cell. The calculation puts the energy above the lowest structure with this stoichiometry at 27.3 meV per atom.

The structure belongs to space group Cmcm (No. 63); the cell edges are 4.030, 13.491 and 10.736 Å and the angles 90.00°, 90.00° and 90.00°. Symmetry generates all atoms from Na at (0.000, 0.244, 0.250), Dy at (0.000, 0.000, 0.000), Fe at (0.000, 0.471, 0.750), Se at (0.000, 0.080, 0.750) and Se at (0.000, 0.362, 0.572).

[6]
VASP calculation (PBE) on a relaxed structure of NaDyFeSe3.

The calculation puts the total energy at -124.81 eV per cell. The calculation puts the energy above the lowest structure with this stoichiometry at 59.1 meV per atom.

The structure belongs to space group Pnma (No. 62); the cell edges are 11.176, 4.141 and 12.035 Å and the angles 90.00°, 90.00° and 90.00°. Symmetry generates all atoms from Na at (0.176, 0.250, 0.002), Dy at (0.017, 0.250, 0.315), Fe at (0.249, 0.250, 0.713), Se at (0.049, 0.750, 0.148), Se at (0.106, 0.250, 0.563) and Se at (0.218, 0.750, 0.817).

[7]
VASP calculation (PBE) on a relaxed structure of NaDyFeSe3.

The calculation puts the total energy at -63.11 eV per cell. The calculation puts the energy above the lowest structure with this stoichiometry at 0.3 meV per atom.

The structure belongs to space group P2_1/m (No. 11); the cell edges are 8.158, 3.986 and 9.724 Å and the angles 90.00°, 105.08° and 90.00°. Symmetry generates all atoms from Na at (0.225, 0.250, 0.267), Dy at (0.323, 0.750, 0.853), Fe at (0.071, 0.250, 0.586), Se at (0.068, 0.250, 0.835), Se at (0.237, 0.750, 0.538) and Se at (0.430, 0.750, 0.156).

[8]
VASP calculation (PBE) on a relaxed structure of NaDyFeSe3.

The calculation puts the total energy at -123.13 eV per cell. The calculation puts the energy above the lowest structure with this stoichiometry at 129.0 meV per atom.

The structure belongs to space group C2/m (No. 12); the cell edges are 17.737, 4.061 and 8.224 Å and the angles 90.00°, 104.22° and 90.00°. Symmetry generates all atoms from Na at (0.134, 0.000, 0.072), Dy at (0.171, 0.000, 0.590), Fe at (0.020, 0.500, 0.720), Se at (0.000, 0.000, 0.500), Se at (0.000, 0.500, 0.000), Se at (0.165, 0.500, 0.347) and Se at (0.165, 0.500, 0.824).

Among the records above, which one has the highest energy above the lowest structure with this stoichiometry? number 8